# 1
VASP calculation (PBE) on a relaxed ScCd2Re crystal.

abc: 2.8726 4.5563 5.6947
angles: 90.00 90.41 90.00
Closest atoms and distances in Å follow each position.
Space group P2/m (No. 10)
Asymmetric unit:
Sc 0.0000 0.0000 0.0000 (multiplicity 1)  2 Re 2.85, 2 Sc 2.87, 8 Cd 3.07
Cd 0.4990 0.5000 0.7415 (multiplicity 2)  4 Cd 2.75-2.94, 4 Re 3.02-3.03, 4 Sc 3.07
Re 0.0000 0.0000 0.5000 (multiplicity 1)  2 Sc 2.85, 2 Re 2.87, 8 Cd 3.02-3.03

## Properties
- crystal system = monoclinic
- offset from the most stable computed form (eV per formula unit) = 0.22



# 2
VASP calculation (PBE) on a relaxed Sc2CdRe crystal.

abc: 10.2904 3.7162 4.5088
angles: 90.00 115.83 90.00
Closest atoms and distances in Å follow each position.
Space group Cm (No. 8)
Asymmetric unit:
Sc 0.0000 0.0000 0.0000 (multiplicity 2)  2 Re 2.82, 4 Cd 2.93, 4 Sc 3.10-3.11
Sc 0.2318 0.0000 0.7305 (multiplicity 2)  4 Re 2.92, 4 Cd 3.04-3.17, 4 Sc 3.10-3.11
Cd 0.4718 0.0000 0.4717 (multiplicity 2)  2 Re 2.92, 8 Sc 2.93-3.17
Re 0.2284 0.5000 0.2268 (multiplicity 2)  6 Sc 2.82-2.92, 2 Cd 2.92

## Properties
- crystal system = monoclinic



# 3
VASP calculation (PBE) on a relaxed Sc2CdRe crystal.

abc: 5.1958 2.9328 5.6726
angles: 90.00 116.01 90.00
Closest atoms and distances in Å follow each position.
Space group P2/m (No. 10)
Asymmetric unit:
Sc 0.0000 0.0000 0.0000 (multiplicity 1)  2 Cd 2.89, 6 Sc 2.93-3.19, 4 Re 2.98
Sc 0.0000 0.5000 0.5000 (multiplicity 1)  2 Re 2.89, 6 Sc 2.93-3.19, 4 Cd 2.98
Cd 0.5000 0.0000 0.5000 (multiplicity 1)  6 Sc 2.89-2.98, 2 Cd 2.93, 4 Re 3.19
Re 0.5000 0.5000 0.0000 (multiplicity 1)  6 Sc 2.89-2.98, 2 Re 2.93, 4 Cd 3.19

## Properties
- crystal system = monoclinic



# 4
VASP calculation (PBE) on a relaxed ScCd2Re crystal.

abc: 3.9966 3.9966 20.7540
angles: 90.00 90.00 90.00
Closest atoms and distances in Å follow each position.
Space group I-42d (No. 122)
Asymmetric unit:
Sc 0.0000 0.0000 0.0000 (multiplicity 4)  4 Re 2.83, 4 Cd 2.97
Cd 0.2350 0.2500 0.6250 (multiplicity 8)  4 Cd 2.74-2.91, 2 Re 2.93, 2 Sc 2.97
Re 0.0000 0.0000 0.5000 (multiplicity 4)  4 Sc 2.83, 4 Cd 2.93

## Properties
- crystal system = tetragonal
- offset from the most stable computed form (eV per formula unit) = 1.68



Number 1: formation energy from the elements 4.872 kcal/mol of atoms, E_tot -4.941 eV per atom. Number 2: formation energy from the elements 1.091 kcal/mol of atoms, E_tot -6.459 eV per atom. Number 3: formation energy from the elements 4.715 kcal/mol of atoms, E_tot -6.302 eV per atom. Number 4: formation energy from the elements 13.300 kcal/mol of atoms, E_tot -4.576 eV per atom.